No. 1
VASP calculation (PBE) on a relaxed TmSeBr crystal.

Cell lengths 8.248, 8.248, 5.628 Å; angles 90.00, 90.00, 90.00 degrees
Space group P4_2/mmc (No. 131)
Asymmetric unit:
Tm1 0.000 0.253 0.000
Se1 0.000 0.236 0.500
Br1 0.230 0.500 0.000

Properties
DOS(E_F) ... 0.000 states/eV per atom
Crystal system ... tetragonal
Formation energy from raw total energies ... -1.870 eV per atom
Uncorrected energy ... -60.96 eV for the cell shown



No. 2
VASP calculation (PBE) on a relaxed La2SiIr crystal.

Cell lengths 4.3856, 4.3856, 18.4376 Å; angles 90.00, 90.00, 120.00 degrees
Space group R3m (No. 160, hexagonal axes)
Asymmetric unit:
La1 0.0000 0.0000 0.0000
La2 0.0000 0.0000 0.1896
Si1 0.0000 0.0000 0.7699
Ir1 0.0000 0.0000 0.4203

Properties
DOS(E_F) ... 0.794 states/eV per atom
Crystal system ... trigonal
Formation energy from raw total energies ... -0.716 eV per atom
Uncorrected energy ... -81.01 eV for the cell shown



No. 3
VASP calculation (PBE) on a relaxed Nd7SmTm12 crystal.

Cell lengths 11.9287, 11.9287, 16.1896 Å; angles 90.00, 90.00, 120.00 degrees
Space group R-3 (No. 148, hexagonal axes)
Asymmetric unit:
Nd1 0.0000 0.0000 0.0000
Nd2 0.0522 0.1882 0.2902
Sm1 0.0000 0.0000 0.5000
Tm1 0.0209 0.4465 0.2202
Tm2 0.0507 0.5867 0.5836

Properties
DOS(E_F) ... 1.816 states/eV per atom
Crystal system ... trigonal
Energy of formation ... 22.2 kJ/mol of atoms
Relative energy among the computed polymorphs ... 0 meV per atom
Uncorrected energy ... -261.43 eV for the cell shown



No. 4
VASP calculation (PBE) on a relaxed Tb6Pm2Ho3Zr crystal.

Cell lengths 6.121, 10.584, 11.699 Å; angles 90.00, 99.95, 90.00 degrees
Space group C2/m (No. 12)
Asymmetric unit:
Tb1 0.244 0.000 0.253
Tb2 0.246 0.163 0.748
Pm1 0.000 0.333 0.500
Ho1 0.000 0.166 0.000
Ho2 0.000 0.500 0.000
Zr1 0.000 0.000 0.500

Properties
DOS(E_F) ... 1.238 states/eV per atom
Crystal system ... monoclinic
Energy of formation ... 4.9 kJ/mol of atoms
Uncorrected energy ... -117.92 eV for the cell shown



No. 5
VASP calculation (PBE) on a relaxed Li6ErTl6 crystal.

Cell lengths 5.915, 9.630, 9.734 Å; angles 90.00, 90.00, 90.00 degrees
Space group Immm (No. 71)
Asymmetric unit:
Li1 0.000 0.240 0.000
Li2 0.250 0.250 0.250
Er1 0.000 0.500 0.500
Tl1 0.000 0.000 0.174
Tl2 0.000 0.163 0.500
Tl3 0.000 0.500 0.163

Properties
DOS(E_F) ... 0.401 states/eV per atom
Crystal system ... orthorhombic
Energy of formation ... -20.7 kJ/mol of atoms
Uncorrected energy ... -66.07 eV for the cell shown



No. 6
VASP calculation (PBE) on a relaxed ScAg2Bi crystal.

Cell lengths 4.155, 4.155, 21.741 Å; angles 90.00, 90.00, 90.00 degrees
Space group I-42d (No. 122)
Asymmetric unit:
Sc1 0.000 0.000 0.000
Ag1 0.244 0.250 0.125
Bi1 0.000 0.000 0.500

Properties
DOS(E_F) ... 0.546 states/eV per atom
Crystal system ... tetragonal
Energy of formation ... -8.3 kJ/mol of atoms
Uncorrected energy ... -65.04 eV for the cell shown



No. 7
VASP calculation (PBE) on a relaxed NaMgRhPb crystal.

Cell lengths 6.795, 6.795, 6.795 Å; angles 90.00, 90.00, 90.00 degrees
Space group F-43m (No. 216)
Asymmetric unit:
Na1 0.000 0.000 0.000
Mg1 0.250 0.250 0.250
Rh1 0.000 0.000 0.500
Pb1 0.250 0.250 0.750

Properties
DOS(E_F) ... 0.580 states/eV per atom
Crystal system ... cubic
Energy of formation ... -11.1 kJ/mol of atoms
Uncorrected energy ... -57.73 eV for the cell shown



No. 8
VASP calculation (PBE) on a relaxed TaNb6Sn crystal.

Cell lengths 7.5134, 7.5134, 9.1928 Å; angles 90.00, 90.00, 120.00 degrees
Space group R-3 (No. 148, hexagonal axes)
Asymmetric unit:
Ta1 0.0000 0.0000 0.0000
Nb1 0.0045 0.7523 0.7523
Sn1 0.0000 0.0000 0.5000

Properties
DOS(E_F) ... 0.840 states/eV per atom
Crystal system ... trigonal
Energy of formation ... -12.7 kJ/mol of atoms
Relative energy among the computed polymorphs ... 0 meV per atom
Uncorrected energy ... -231.99 eV for the cell shown